Compound: VOs3Br
Source: Alexandria
Functional: PBE
Structure: optimized geometry

POSCAR file:
```
VOs3Br
1.0
-0.3300 4.5229 -0.7387
-2.5099 -0.7981 -3.7649
-3.8344 0.1331 2.5280
Os Br V
3 1 1
direct
0.0000 0.5000 0.0000
0.0000 0.0000 0.5000
0.5000 0.0000 0.0000
0.5000 0.5000 0.5000
0.0000 0.0000 0.0000
```

Summary:
V: 19.399 A^3/atom
formation energy (no corrections): 2.158 eV per atom
energy above the lowest structure with this stoichiometry: 0.0 meV/atom